Compound: NaCo2O
Source: Alexandria via LeMat-Bulk
Functional: PBE with a Hubbard U
Structure: relaxed

The space group is I4_1/amd (No. 141, origin choice 2) and the conventional cell measures 5.7552, 5.7552 and 9.2011 Å, with angles of 90.00, 90.00 and 90.00 degrees. The inequivalent atoms are Na at (0.0000, 0.2500, 0.3750), Co at (0.0000, 0.0000, 0.0000) and O at (0.0000, 0.2500, 0.8750).

The energy is -4.204 eV/atom. As for the total magnetization: 3.39 μB/f.u.